First-principles (PBE) data for a geometry-optimized ZnOsPb structure, as listed in Alexandria.

Output
E_tot in eV/f.u.: -14.112
Volume in Å³/cell: 56
Formation enthalpy at 0 K in meV per atom: 700
Energy above the lowest structure with this stoichiometry in eV per atom: 0.162
D(E_F) in states/eV/atom: 0.384
Total moment in Bohr magnetons per cell: 0.0
SG: P-6m2, No. 187

Cell lengths 4.424, 4.424, 3.318 Å; angles 90.00, 90.00, 120.00 degrees
Sites, in units of the cell vectors:
Zn1 0.333 0.667 0.833
Os1 0.000 0.000 0.834
Pb1 0.667 0.333 0.333

***

First-principles (PBE) data for a geometry-optimized ZnOs2Pb structure, as listed in Alexandria.

Output
E_tot in eV/f.u.: -24.657
Volume in Å³/cell: 75
Formation enthalpy at 0 K in meV per atom: 696
Energy above the lowest structure with this stoichiometry in eV per atom: 0.335
D(E_F) in states/eV/atom: 1.222
Total moment in Bohr magnetons per cell: 0.0
SG: Imm2, No. 44

Cell lengths 6.549, 6.549, 6.549 Å; angles 154.55, 141.37, 46.83 degrees
Sites, in units of the cell vectors:
Os1 0.070 0.070 0.000
Zn1 0.728 0.228 0.500
Os2 0.245 0.745 0.500
Pb1 0.458 0.458 0.000

***

First-principles (PBE) data for a geometry-optimized ZnOs2Pb structure, as listed in Alexandria.

Output
E_tot in eV/f.u.: -25.162
Volume in Å³/cell: 71
Formation enthalpy at 0 K in meV per atom: 570
Energy above the lowest structure with this stoichiometry in eV per atom: 0.208
D(E_F) in states/eV/atom: 0.531
Total moment in Bohr magnetons per cell: 0.0
SG: R3m, No. 160

Cell lengths 9.509, 9.509, 9.509 Å; angles 17.88, 17.88, 17.88 degrees
Sites, in units of the cell vectors:
Os1 0.998 0.998 0.998
Os2 0.260 0.260 0.260
Zn1 0.738 0.738 0.738
Pb1 0.504 0.504 0.504

***

First-principles (PBE) data for a geometry-optimized ZnOsPb4 structure, as listed in Alexandria.

Output
E_tot in eV/f.u.: -20.361
Volume in Å³/cell: 168
Formation enthalpy at 0 K in meV per atom: 1163
D(E_F) in states/eV/atom: 0.843
Total moment in Bohr magnetons per cell: 0.5
SG: F-43m, No. 216

Cell lengths 6.191, 6.191, 6.191 Å; angles 60.00, 60.00, 60.00 degrees
Last column: magnetic moment on the atom in μB.
Sites, in units of the cell vectors:
Pb1 0.374 0.374 0.877  -0.01
Pb2 0.877 0.374 0.374  -0.01
Pb3 0.374 0.877 0.374  -0.01
Zn1 0.750 0.750 0.750  0.00
Pb4 0.374 0.374 0.374  -0.01
Os1 0.000 0.000 0.000  0.61

***

Look up the volume of the third one. 71 Å³/cell

***

Which formula does entry 2 have? ZnOs2Pb

***

Among the records above, which one has the lowest formation enthalpy at 0 K? number 3